Run i
A relaxed structure of Tb3SmSb2, computed with GGA-PBE.

Computed properties:
Total magnetization ... 0.0 μB/cell
Theoretical density ... 8.32 g/cm³
SG ... P-4m2 (115)
V ... 174 Å³/cell

The structure in POSCAR format:
```
Tb3SmSb2
1.0
4.5008 0.0000 0.0000
0.0000 4.5008 0.0000
0.0000 0.0000 8.5766
Tb Sm Sb
3 1 2
direct
0.0000 0.0000 0.0000
0.0000 0.5000 0.6476
0.5000 0.0000 0.3524
0.5000 0.5000 0.0000
0.0000 0.5000 0.2823
0.5000 0.0000 0.7177
```

Run ii
A relaxed structure of Tb3SmSb2, computed with GGA-PBE.

Computed properties:
Total magnetization ... 0.0 μB/cell
Theoretical density ... 7.43 g/cm³
SG ... Ibam (72)
V ... 389 Å³/cell

The structure in POSCAR format:
```
Tb3SmSb2
1.0
7.0319 0.0000 0.0000
0.0000 7.5780 0.0000
-3.5160 -3.7890 7.3014
Tb Sm Sb
6 2 4
direct
0.5000 0.7500 0.0000
0.7950 0.0450 0.5900
0.2050 0.9550 0.4100
0.2050 0.4550 0.4100
0.5000 0.2500 0.0000
0.7950 0.5450 0.5900
0.0000 0.5000 0.0000
0.0000 0.0000 0.0000
0.1838 0.8515 0.7030
0.4808 0.6485 0.2970
0.5192 0.3515 0.7030
0.8162 0.1485 0.2970
```

Which is the most stable structure? run i is the most stable.

Run i
A relaxed structure of TbSmSb2, computed with GGA-PBE.

Computed properties:
Total magnetization ... 0.0 μB/cell
Theoretical density ... 7.43 g/cm³
SG ... R-3m (166)
V ... 124 Å³/cell

The structure in POSCAR format:
```
TbSmSb2
1.0
4.4397 -0.0020 -0.0054
-2.2203 3.8447 0.0054
-2.2153 -1.2828 7.2406
Sm Tb Sb
1 1 2
direct
0.0000 0.5000 0.5000
0.0000 0.0000 0.0000
0.5030 0.2515 0.7545
0.4970 0.7485 0.2455
```

Run ii
A relaxed structure of TbSmSb2, computed with GGA-PBE.

Computed properties:
Total magnetization ... 0.0 μB/cell
Theoretical density ... 7.26 g/cm³
SG ... R3m (160)
V ... 126 Å³/cell

The structure in POSCAR format:
```
TbSmSb2
1.0
4.4040 0.0000 0.0000
2.2020 3.8140 0.0000
2.2020 1.2713 7.5253
Sb Tb Sm
2 1 1
direct
0.0833 0.0833 0.7500
0.2498 0.2498 0.2506
0.4979 0.4979 0.5062
0.6689 0.6689 0.9933
```

Which is the most stable structure? run i is the most stable.

Run i
A relaxed structure of Tb2SmSb, computed with GGA-PBE.

Computed properties:
Total magnetization ... 0.0 μB/cell
Theoretical density ... 8.14 g/cm³
SG ... P2_1/m (11)
V ... 241 Å³/cell

The structure in POSCAR format:
```
Tb2SmSb
1.0
4.6120 0.0000 -0.0202
0.0000 4.5620 0.0000
-2.2567 0.0000 11.4564
Sm Sb Tb
2 2 4
direct
0.3052 0.2500 0.6109
0.6948 0.7500 0.3891
0.1666 0.2500 0.3322
0.8334 0.7500 0.6678
0.0604 0.7500 0.1210
0.5628 0.2500 0.1256
0.4372 0.7500 0.8744
0.9396 0.2500 0.8790
```

Run ii
A relaxed structure of Tb2SmSb, computed with GGA-PBE.

Computed properties:
Total magnetization ... 0.0 μB/cell
Theoretical density ... 8.72 g/cm³
SG ... P4/mmm (123)
V ... 112 Å³/cell

The structure in POSCAR format:
```
Tb2SmSb
1.0
-2.3443 3.6948 -1.9889
0.5441 -2.0044 -4.3650
-4.1848 -2.3541 0.5593
Sb Tb Sm
1 2 1
direct
0.5000 0.0000 0.0000
0.0000 0.5000 0.0000
0.0000 0.0000 0.5000
0.5000 0.5000 0.5000
```

Which is the most stable structure? run i is the most stable.

Run i
A relaxed structure of Tb2SmSb, computed with GGA-PBE.

Computed properties:
Total magnetization ... 0.0 μB/cell
Theoretical density ... 8.30 g/cm³
SG ... P4/mmm (123)
V ... 118 Å³/cell

The structure in POSCAR format:
```
Tb2SmSb
1.0
-1.5140 -2.2675 2.9410
-1.9357 -2.2287 -2.7147
5.7991 -4.4726 -0.4631
Tb Sm Sb
2 1 1
direct
0.0000 0.0000 0.7190
0.0000 0.0000 0.2810
0.5000 0.5000 0.0000
0.5000 0.5000 0.5000
```

Run ii
A relaxed structure of Tb2SmSb, computed with GGA-PBE.

Computed properties:
Total magnetization ... 0.8 μB/cell
Theoretical density ... 7.29 g/cm³
SG ... R3m (160)
V ... 134 Å³/cell

The structure in POSCAR format:
```
Tb2SmSb
1.0
4.0254 0.0000 0.0000
2.0127 3.4861 0.0000
2.0127 1.1620 9.5782
Sb Tb Sm
1 2 1
direct
0.6663 0.6663 0.0011
0.2660 0.2660 0.2019
0.0673 0.0673 0.7982
0.5004 0.5004 0.4988
```

Run iii
A relaxed structure of Tb2SmSb, computed with GGA-PBE.

Computed properties:
Total magnetization ... 0.0 μB/cell
Theoretical density ... 7.56 g/cm³
SG ... R-3m (166)
V ... 130 Å³/cell

The structure in POSCAR format:
```
Tb2SmSb
1.0
3.5335 0.0000 0.0000
1.7668 3.0601 0.0000
1.7668 1.0200 11.9796
Sb Tb Sm
1 2 1
direct
0.0000 0.0000 0.0000
0.0857 0.0857 0.7430
0.9143 0.9143 0.2570
0.5000 0.5000 0.5000
```

Which is the most stable structure? run i is the most stable.